DFT (meta-GGA SCAN) results for a crystal of Cs2LiNi relaxed with PBEsol.

```
Cs2LiNi
1.0
0.000 4.128 4.128
4.128 0.000 4.128
4.128 4.128 0.000
Cs Li Ni
2 1 1
Direct
0.250 0.250 0.250
0.750 0.750 0.750
0.000 0.000 0.000
0.500 0.500 0.500
```

The total energy comes out at -22.722 eV per atom. The energy relative to the elements is 0.8243 eV/atom.